1.
Material: PaGa2Ir
Method: DFT, PBE
State: relaxed

```
PaGa2Ir
1.0
3.1267 0.0000 0.0000
0.0000 3.1267 0.0000
0.0000 0.0000 7.2716
Pa Ga Ir
1 2 1
Cartesian
1.5633 1.5633 3.6358
0.0000 0.0000 5.7948
0.0000 0.0000 1.4768
1.5633 1.5633 0.0000
```

Output
**DOS(E_F)**: 1.19 states/eV/atom
**Formation energy from the elements**: -0.319 eV/atom
**M_tot**: 0.7 μB/cell
**Density**: 13.1 g/cm³
**Space group**: P4/mmm, No. 123
**Calculated volume**: 71 Å³/cell



2.
Material: Li2CrAu
Method: DFT, PBE
State: relaxed

```
Li2CrAu
1.0
4.4702 -0.2745 0.3676
2.4639 3.7399 0.3676
1.9989 0.9990 3.8973
Au Cr Li
1 1 2
Cartesian
4.4661 2.2320 2.3165
2.2334 1.1161 1.1582
2.0000 0.9995 3.8969
6.6989 3.3478 3.4745
```

Output
**DOS(E_F)**: 0.34 states/eV/atom
**Formation energy from the elements**: -0.029 eV/atom
**M_tot**: 4.3 μB/cell
**Density**: 6.8 g/cm³
**Space group**: F-43m, No. 216
**Calculated volume**: 64 Å³/cell



3.
Material: AgPd5Pt6
Method: DFT, PBE
State: relaxed

```
AgPd5Pt6
1.0
3.7962 -0.0077 -1.1060
-2.5582 6.7431 -1.7423
0.0947 -0.3009 7.4129
Ag Pd Pt
1 5 6
Cartesian
0.0000 0.0000 0.0000
1.5554 0.8566 5.3505
-0.7875 2.0417 4.3682
0.6663 3.2173 2.2823
2.1202 4.3929 0.1964
-0.2228 5.5780 -0.7859
0.7820 0.4457 2.6891
1.4403 3.6266 4.9457
2.2388 1.6390 0.6123
-0.9061 4.7956 3.9523
-0.1076 2.8080 -0.3811
0.5507 5.9888 1.8755
```

Output
**DOS(E_F)**: 1.87 states/eV/atom
**Formation energy from the elements**: -0.016 eV/atom
**M_tot**: 0.0 μB/cell
**Density**: 16.0 g/cm³
**Space group**: Immm, No. 71
**Calculated volume**: 187 Å³/cell



4.
Material: HoTmPbSe
Method: DFT, PBE
State: relaxed

```
HoTmPbSe
1.0
-1.5792 3.7150 1.3640
-3.9557 -1.5174 -0.4470
0.1348 -2.0134 5.6396
Ho Tm Pb Se
1 1 1 1
Cartesian
-2.3253 1.0767 1.0306
-3.4477 -2.5452 2.9406
-3.5136 -1.5381 0.1213
-2.2587 0.0701 3.8493
```

Output
**DOS(E_F)**: 0.22 states/eV/atom
**M_tot**: 0.0 μB/cell
**Density**: 9.5 g/cm³
**Space group**: P4/mmm, No. 123
**Calculated volume**: 109 Å³/cell
**Uncorrected energy**: -20.494 eV/cell



5.
Material: TiPHO2
Method: DFT, PBE
State: relaxed

```
TiPHO2
1.0
-0.8452 -2.7069 2.6938
2.5438 -2.4568 -1.6707
2.1414 1.0457 1.7227
P H O Ti
1 1 2 1
Cartesian
1.0707 0.5228 0.8613
0.0000 0.0000 0.0000
1.2719 -1.2284 -0.8354
-0.4226 -1.3535 1.3469
1.9200 -2.0590 1.3729
```

Output
**DOS(E_F)**: 0.63 states/eV/atom
**M_tot**: 0.0 μB/cell
**Density**: 4.1 g/cm³
**Space group**: P4/mmm, No. 123
**Calculated volume**: 45 Å³/cell
**Uncorrected energy**: -27.672 eV/cell



6.
Material: KCdAuSe2
Method: DFT, PBE
State: relaxed

```
KCdAuSe2
1.0
-2.1801 4.7981 2.4421
-0.2485 -3.3351 6.3310
6.7590 3.1884 -0.2304
K Cd Au Se
2 2 2 4
Cartesian
4.5326 1.6314 3.4546
-0.2022 3.0200 5.0880
0.6167 3.1587 1.1444
3.9622 4.8278 1.0673
0.0000 0.0000 0.0000
3.3795 1.5942 -0.1152
4.6877 3.8163 6.2657
2.1792 4.2847 3.1060
2.1512 0.3667 5.4366
-0.3573 0.8351 2.2768
```

Output
**DOS(E_F)**: 0.00 states/eV/atom
**M_tot**: 0.0 μB/cell
**Density**: 5.6 g/cm³
**Space group**: P2/c, No. 13
**Calculated volume**: 300 Å³/cell
**Uncorrected energy**: -31.399 eV/cell



7.
Material: TmThC
Method: DFT, PBE
State: relaxed

```
TmThC
1.0
3.5698 0.0000 0.0000
-1.7849 3.0915 0.0000
0.0000 0.0000 6.3694
C Tm Th
1 1 1
Cartesian
1.7849 1.0305 2.1889
0.0000 2.0610 3.4757
0.0000 0.0000 0.7048
```

Output
**DOS(E_F)**: 1.01 states/eV/atom
**Formation energy from the elements**: -0.247 eV/atom
**M_tot**: 0.0 μB/cell
**Density**: 9.8 g/cm³
**Space group**: P3m1, No. 156
**Calculated volume**: 70 Å³/cell



8.
Material: Be3ZnHg
Method: DFT, PBE
State: relaxed

```
Be3ZnHg
1.0
4.2311 0.0000 0.0000
0.0000 4.2311 0.0000
0.0000 0.0000 4.2311
Be Zn Hg
3 1 1
Cartesian
0.0000 2.1156 0.0000
0.0000 0.0000 2.1156
2.1156 0.0000 0.0000
0.0000 0.0000 0.0000
2.1156 2.1156 2.1156
```

Output
**DOS(E_F)**: 0.21 states/eV/atom
**Formation energy from the elements**: 0.763 eV/atom
**M_tot**: 0.0 μB/cell
**Density**: 6.4 g/cm³
**Space group**: Pm-3m, No. 221
**Calculated volume**: 76 Å³/cell



9.
Material: Mg3NpO7
Method: DFT, PBE
State: relaxed

```
Mg3NpO7
1.0
4.6778 -0.0466 2.3045
-1.1208 4.5417 2.3045
-0.1414 -0.1787 5.7131
Mg Np O
3 1 7
Cartesian
3.2980 0.9887 5.0983
1.6299 2.0598 7.6349
0.2040 3.4369 5.0983
3.3851 4.2779 4.5937
0.4316 0.5455 1.7403
2.7083 0.6573 2.9410
4.0804 1.4278 7.1176
0.0170 2.7869 2.9410
2.0701 2.6161 5.5013
0.4515 4.2994 7.1176
2.7682 3.4983 8.4404
```

Output
**DOS(E_F)**: 0.18 states/eV/atom
**M_tot**: 1.0 μB/cell
**Density**: 5.6 g/cm³
**Space group**: Cm, No. 8
**Calculated volume**: 125 Å³/cell
**Uncorrected energy**: -77.351 eV/cell



10.
Material: LiCo2Ir
Method: DFT, PBE
State: relaxed

```
LiCo2Ir
1.0
-2.8708 0.3986 4.8978
3.0574 -3.2566 -0.5682
1.3009 0.8647 2.0544
Co Ir Li
2 1 1
Cartesian
0.0000 0.0000 0.0000
-0.7849 0.6316 3.4761
2.1792 -1.1960 0.7431
0.0933 -1.4290 2.1648
```

Output
**DOS(E_F)**: 1.51 states/eV/atom
**Formation energy from the elements**: 0.041 eV/atom
**M_tot**: 3.3 μB/cell
**Density**: 10.8 g/cm³
**Space group**: Cmmm, No. 65
**Calculated volume**: 49 Å³/cell



11.
Material: Ba2ZrCo
Method: DFT, PBE
State: relaxed

```
Ba2ZrCo
1.0
8.0887 -0.0755 -0.2359
-3.1621 5.0409 0.2034
1.7644 0.9791 3.0596
Ba Co Zr
2 1 1
Cartesian
0.0000 0.0000 0.0000
4.9265 0.4518 1.4118
-0.6989 3.0100 1.6315
2.4633 2.4827 -0.0163
```

Output
**DOS(E_F)**: 1.76 states/eV/atom
**Formation energy from the elements**: 0.924 eV/atom
**M_tot**: 1.8 μB/cell
**Density**: 5.6 g/cm³
**Space group**: Cmmm, No. 65
**Calculated volume**: 125 Å³/cell



12.
Material: Nd8Pd2Rh
Method: DFT, PBE
State: relaxed

```
Nd8Pd2Rh
1.0
5.1845 0.0000 0.0000
0.0000 6.9321 0.5695
-2.5922 -2.2897 8.6233
Nd Pd Rh
8 2 1
Cartesian
0.0000 1.9869 7.4265
2.5922 5.9755 3.3604
2.5922 3.2600 5.5284
2.5922 -0.6265 8.1970
0.0000 1.3823 3.6643
0.0000 -1.3331 5.8324
2.5922 2.6555 1.7662
0.0000 5.2689 0.9958
2.5922 0.3943 5.3609
0.0000 4.2481 3.8319
2.5922 0.0000 0.0000
```

Output
**DOS(E_F)**: 1.13 states/eV/atom
**Formation energy from the elements**: -0.389 eV/atom
**M_tot**: 0.0 μB/cell
**Density**: 7.7 g/cm³
**Space group**: C2/m, No. 12
**Calculated volume**: 317 Å³/cell